No. 1
Cs3TlP2S8 after structural relaxation, computed with PBE.

```
data_Cs3TlP2S8
_chemical_formula_sum 'Cs3 Tl1 P2 S8'
_space_group_name_H-M_alt 'P -3 m 1'
_space_group_IT_number 164
_space_group_name_Hall '-P 3 2"'
_cell_length_a 7.3196
_cell_length_b 7.3196
_cell_length_c 10.2073
_cell_angle_alpha 90.00
_cell_angle_beta 90.00
_cell_angle_gamma 120.00
loop_
_atom_site_label
_atom_site_type_symbol
_atom_site_fract_x
_atom_site_fract_y
_atom_site_fract_z
_atom_site_occupancy
Cs1 Cs 0.0000 0.0000 0.0000 1
Cs2 Cs 0.3333 0.6667 0.6590 1
Tl1 Tl 0.0000 0.0000 0.5000 1
P1 P 0.3333 0.6667 0.2360 1
S1 S 0.1790 0.3579 0.2948 1
S2 S 0.3333 0.6667 0.0371 1
```

Summary:
E_tot	-57.35	eV for the cell shown
formation energy (no corrections)	-8.59	eV per formula unit

---

No. 2
KNbBr3 after structural relaxation, computed with PBE.

```
data_KNbBr3
_chemical_formula_sum 'K1 Nb1 Br3'
_space_group_name_H-M_alt 'P m -3 m'
_space_group_IT_number 221
_space_group_name_Hall '-P 4 2 3'
_cell_length_a 5.7673
_cell_length_b 5.7673
_cell_length_c 5.7673
_cell_angle_alpha 90.00
_cell_angle_beta 90.00
_cell_angle_gamma 90.00
loop_
_atom_site_label
_atom_site_type_symbol
_atom_site_fract_x
_atom_site_fract_y
_atom_site_fract_z
_atom_site_occupancy
K1 K 0.0000 0.0000 0.0000 1
Nb1 Nb 0.5000 0.5000 0.5000 1
Br1 Br 0.0000 0.0000 0.5000 1
```

Summary:
energy relative to the lowest polymorph listed for this composition	137.3	kJ per mole of atoms
E_tot	-14.28	eV for the cell shown
formation energy (no corrections)	1.90	eV per formula unit

---

No. 3
Sr2Si2P after structural relaxation, computed with PBE.

```
data_Sr2Si2P
_chemical_formula_sum 'Sr4 Si4 P2'
_space_group_name_H-M_alt 'P 4/m b m'
_space_group_IT_number 127
_space_group_name_Hall '-P 4 2ab'
_cell_length_a 7.3593
_cell_length_b 7.3593
_cell_length_c 4.5942
_cell_angle_alpha 90.00
_cell_angle_beta 90.00
_cell_angle_gamma 90.00
loop_
_atom_site_label
_atom_site_type_symbol
_atom_site_fract_x
_atom_site_fract_y
_atom_site_fract_z
_atom_site_occupancy
Sr1 Sr 0.1824 0.3176 0.0000 1
Si1 Si 0.1145 0.6145 0.5000 1
P1 P 0.0000 0.0000 0.5000 1
```

Summary:
E_tot	-42.00	eV for the cell shown
formation energy (no corrections)	-1.38	eV per formula unit

---

No. 4
CdGaIr3 after structural relaxation, computed with PBE.

```
data_CdGaIr3
_chemical_formula_sum 'Cd1 Ga1 Ir3'
_space_group_name_H-M_alt 'P m -3 m'
_space_group_IT_number 221
_space_group_name_Hall '-P 4 2 3'
_cell_length_a 4.5711
_cell_length_b 4.5711
_cell_length_c 4.5711
_cell_angle_alpha 90.00
_cell_angle_beta 90.00
_cell_angle_gamma 90.00
loop_
_atom_site_label
_atom_site_type_symbol
_atom_site_fract_x
_atom_site_fract_y
_atom_site_fract_z
_atom_site_occupancy
Cd1 Cd 0.0000 0.0000 0.0000 1
Ga1 Ga 0.5000 0.5000 0.5000 1
Ir1 Ir 0.0000 0.5000 0.5000 1
```

Summary:
DFT formation energy	1.029	eV/atom
E_tot	-25.38	eV for the cell shown

---

No. 5
ZrOsSeBr2 after structural relaxation, computed with PBE.

```
data_ZrOsSeBr2
_chemical_formula_sum 'Zr1 Os1 Se1 Br2'
_space_group_name_H-M_alt 'P 4/m m m'
_space_group_IT_number 123
_space_group_name_Hall '-P 4 2'
_cell_length_a 5.3545
_cell_length_b 5.3545
_cell_length_c 5.1984
_cell_angle_alpha 90.00
_cell_angle_beta 90.00
_cell_angle_gamma 90.00
loop_
_atom_site_label
_atom_site_type_symbol
_atom_site_fract_x
_atom_site_fract_y
_atom_site_fract_z
_atom_site_occupancy
Zr1 Zr 0.0000 0.0000 0.0000 1
Os1 Os 0.5000 0.5000 0.5000 1
Se1 Se 0.0000 0.0000 0.5000 1
Br1 Br 0.0000 0.5000 0.0000 1
```

Summary:
energy relative to the lowest polymorph listed for this composition	0.0	kJ per mole of atoms
E_tot	-23.25	eV for the cell shown
formation energy (no corrections)	3.36	eV per formula unit

---

No. 6
Ti2Al3Ni after structural relaxation, computed with PBE.

```
data_Ti2Al3Ni
_chemical_formula_sum 'Ti4 Al6 Ni2'
_space_group_name_H-M_alt 'P 63/m m c'
_space_group_IT_number 194
_space_group_name_Hall '-P 6c 2c'
_cell_length_a 5.1466
_cell_length_b 5.1466
_cell_length_c 7.8444
_cell_angle_alpha 90.00
_cell_angle_beta 90.00
_cell_angle_gamma 120.00
loop_
_atom_site_label
_atom_site_type_symbol
_atom_site_fract_x
_atom_site_fract_y
_atom_site_fract_z
_atom_site_occupancy
Ti1 Ti 0.3333 0.6667 0.0680 1
Al1 Al 0.1680 0.3359 0.7500 1
Ni1 Ni 0.0000 0.0000 0.0000 1
```

Summary:
DFT formation energy	-0.481	eV/atom
E_tot	-71.37	eV for the cell shown

---

No. 7
PuTh2As2N2 after structural relaxation, computed with PBE.

```
data_PuTh2As2N2
_chemical_formula_sum 'Pu2 Th4 As4 N4'
_space_group_name_H-M_alt 'C 1 2/m 1'
_space_group_IT_number 12
_space_group_name_Hall '-C 2y'
_cell_length_a 12.2195
_cell_length_b 4.0188
_cell_length_c 7.1008
_cell_angle_alpha 90.00
_cell_angle_beta 121.40
_cell_angle_gamma 90.00
loop_
_atom_site_label
_atom_site_type_symbol
_atom_site_fract_x
_atom_site_fract_y
_atom_site_fract_z
_atom_site_occupancy
Pu1 Pu 0.0000 0.0000 0.0000 1
Th1 Th 0.1916 0.0000 0.7399 1
As1 As 0.0621 0.5000 0.3315 1
N1 N 0.2003 0.0000 0.0849 1
```

Summary:
E_tot	-130.13	eV for the cell shown
formation energy (no corrections)	-9.94	eV per formula unit

---

No. 8
PmDy2Ru after structural relaxation, computed with PBE.

```
data_PmDy2Ru
_chemical_formula_sum 'Pm4 Dy8 Ru4'
_space_group_name_H-M_alt 'P n m a'
_space_group_IT_number 62
_space_group_name_Hall '-P 2ac 2n'
_cell_length_a 7.3321
_cell_length_b 9.2849
_cell_length_c 6.3933
_cell_angle_alpha 90.00
_cell_angle_beta 90.00
_cell_angle_gamma 90.00
loop_
_atom_site_label
_atom_site_type_symbol
_atom_site_fract_x
_atom_site_fract_y
_atom_site_fract_z
_atom_site_occupancy
Pm1 Pm 0.0408 0.2500 0.1340 1
Dy1 Dy 0.1765 0.0659 0.6681 1
Ru1 Ru 0.1139 0.7500 0.4510 1
```

Summary:
DFT formation energy	-0.288	eV/atom
energy relative to the lowest polymorph listed for this composition	0.0	kJ per mole of atoms
E_tot	-97.52	eV for the cell shown

---

No. 9
HfMn2ReSb after structural relaxation, computed with PBE.

```
data_HfMn2ReSb
_chemical_formula_sum 'Hf1 Mn2 Re1 Sb1'
_space_group_name_H-M_alt 'P 4/m m m'
_space_group_IT_number 123
_space_group_name_Hall '-P 4 2'
_cell_length_a 4.4822
_cell_length_b 4.4822
_cell_length_c 4.9929
_cell_angle_alpha 90.00
_cell_angle_beta 90.00
_cell_angle_gamma 90.00
loop_
_atom_site_label
_atom_site_type_symbol
_atom_site_fract_x
_atom_site_fract_y
_atom_site_fract_z
_atom_site_occupancy
Hf1 Hf 0.0000 0.0000 0.0000 1
Mn1 Mn 0.0000 0.5000 0.5000 1
Re1 Re 0.5000 0.5000 0.5000 1
Sb1 Sb 0.5000 0.5000 0.0000 1
```

Summary:
E_tot	-38.70	eV for the cell shown
formation energy (no corrections)	6.16	eV per formula unit

---

No. 10
Cs3SbRu after structural relaxation, computed with PBE.

```
data_Cs3SbRu
_chemical_formula_sum 'Cs3 Sb1 Ru1'
_space_group_name_H-M_alt 'P m -3 m'
_space_group_IT_number 221
_space_group_name_Hall '-P 4 2 3'
_cell_length_a 5.8856
_cell_length_b 5.8856
_cell_length_c 5.8856
_cell_angle_alpha 90.00
_cell_angle_beta 90.00
_cell_angle_gamma 90.00
loop_
_atom_site_label
_atom_site_type_symbol
_atom_site_fract_x
_atom_site_fract_y
_atom_site_fract_z
_atom_site_occupancy
Cs1 Cs 0.0000 0.0000 0.5000 1
Sb1 Sb 0.5000 0.5000 0.5000 1
Ru1 Ru 0.0000 0.0000 0.0000 1
```

Summary:
E_tot	-12.10	eV for the cell shown
formation energy (no corrections)	3.86	eV per formula unit

---

No. 11
SrPrTlZn after structural relaxation, computed with PBE.

```
data_SrPrTlZn
_chemical_formula_sum 'Sr4 Pr4 Tl4 Zn4'
_space_group_name_H-M_alt 'F -4 3 m'
_space_group_IT_number 216
_space_group_name_Hall 'F -4 2 3'
_cell_length_a 7.8387
_cell_length_b 7.8387
_cell_length_c 7.8387
_cell_angle_alpha 90.00
_cell_angle_beta 90.00
_cell_angle_gamma 90.00
loop_
_atom_site_label
_atom_site_type_symbol
_atom_site_fract_x
_atom_site_fract_y
_atom_site_fract_z
_atom_site_occupancy
Sr1 Sr 0.0000 0.0000 0.0000 1
Pr1 Pr 0.0000 0.0000 0.5000 1
Tl1 Tl 0.2500 0.2500 0.7500 1
Zn1 Zn 0.2500 0.2500 0.2500 1
```

Summary:
DFT formation energy	-0.298	eV/atom
energy relative to the lowest polymorph listed for this composition	2.2	kJ per mole of atoms
E_tot	-45.17	eV for the cell shown

---

No. 12
Li2TiCuS4 after structural relaxation, computed with PBE.

```
data_Li2TiCuS4
_chemical_formula_sum 'Li2 Ti1 Cu1 S4'
_space_group_name_H-M_alt 'P 1 2/m 1'
_space_group_IT_number 10
_space_group_name_Hall '-P 2y'
_cell_length_a 6.4621
_cell_length_b 3.4613
_cell_length_c 6.5006
_cell_angle_alpha 90.00
_cell_angle_beta 113.62
_cell_angle_gamma 90.00
loop_
_atom_site_label
_atom_site_type_symbol
_atom_site_fract_x
_atom_site_fract_y
_atom_site_fract_z
_atom_site_occupancy
Li1 Li 0.0000 0.0000 0.0000 1
Li2 Li 0.0000 0.5000 0.5000 1
Ti1 Ti 0.5000 0.0000 0.5000 1
Cu1 Cu 0.5000 0.5000 0.0000 1
S1 S 0.2410 0.5000 0.2823 1
S2 S 0.3059 0.0000 0.7637 1
```

Summary:
E_tot	-40.17	eV for the cell shown
formation energy (no corrections)	-7.84	eV per formula unit